Below is AcLaGe2 after structural relaxation, with properties calculated at the GGA-PBE level.

Structure (CIF):
```
data_AcLaGe2
_chemical_formula_sum 'Ac1 La1 Ge2'
_cell_length_a 3.620
_cell_length_b 3.620
_cell_length_c 8.456
_cell_angle_alpha 90.00
_cell_angle_beta 90.00
_cell_angle_gamma 90.00
_symmetry_space_group_name_H-M 'P 4/m m m'
_symmetry_Int_Tables_number 123
_symmetry_space_group_name_Hall '-P 4 2'
loop_
_atom_site_label
_atom_site_type_symbol
_atom_site_fract_x
_atom_site_fract_y
_atom_site_fract_z
Ac1 Ac 0.000 0.000 0.000
La1 La 0.000 0.000 0.500
Ge1 Ge 0.500 0.500 0.257
```

Its formation energy is -606 meV per atom. The value obtained for the total magnetization is 0.00 μB/cell.